Record 1
VASP calculation (PBE) on La3NiHg after structural relaxation.

Cell: 5.386 6.629 9.786 Å, 112.65 90.14 113.89°
Fractional coordinates of all 10 atoms:
La  0.127  0.254  0.277
Hg  0.589  0.176  0.432
La  0.850  0.702  0.338
La  0.376  0.754  0.068
La  0.150  0.298  0.662
Ni  0.898  0.798  0.030
Ni  0.102  0.202  0.970
La  0.624  0.246  0.932
Hg  0.411  0.824  0.568
La  0.873  0.746  0.723


Record 2
VASP calculation (PBE) on La3NiHg after structural relaxation.

Cell: 6.266 6.266 9.063 Å, 65.75 65.75 67.72°
Fractional coordinates of all 10 atoms:
La  0.316  0.316  0.895
La  0.705  0.705  0.686
Ni  0.698  0.302  0.000
Ni  0.302  0.698  0.000
La  0.684  0.684  0.105
La  0.295  0.295  0.314
Hg  0.715  0.285  0.500
La  0.933  0.933  0.243
Hg  0.285  0.715  0.500
La  0.067  0.067  0.757


Record 3
VASP calculation (PBE) on La2NiHg after structural relaxation.

Cell: 6.463 6.463 4.876 Å, 67.83 67.83 33.10°
Fractional coordinates of all 4 atoms:
La  0.993  0.993  0.007
Hg  0.197  0.197  0.303
Ni  0.511  0.511  0.489
La  0.799  0.799  0.701


Number 1: energy relative to the elements -0.31 eV per atom, DFT total energy -4.484 eV/atom. Number 2: energy relative to the elements -0.32 eV per atom, DFT total energy -4.491 eV/atom. Number 3: energy relative to the elements -0.26 eV per atom, DFT total energy -4.244 eV/atom.